The following is a DFT calculation (PBE) of a geometry-optimized MnFe2N structure.

Energy relative to the elements, uncorrected = 0.1174 eV/atom
Density of states at the Fermi level = 2.247 states/eV/f.u.
Total magnetization = 21.48 μB per cell

Cell: 2.794 2.794 19.138 Å, 90.00 90.00 120.00°
Sites, in units of the cell vectors:
Mn: 0.000 0.000 0.000
Mn: 0.333 0.667 0.667
Mn: 0.667 0.333 0.333
Fe: 0.000 0.000 0.223
Fe: 0.000 0.000 0.777
Fe: 0.333 0.667 0.443
Fe: 0.333 0.667 0.890
Fe: 0.667 0.333 0.110
Fe: 0.667 0.333 0.557
N: 0.000 0.000 0.500
N: 0.333 0.667 0.167
N: 0.667 0.333 0.833

=====

The following is a DFT calculation (PBE) of a geometry-optimized Mn21Fe2N6 structure.

Energy relative to the elements, uncorrected = 0.0053 eV/atom
Density of states at the Fermi level = 34.854 states/eV/f.u.
Total magnetization = 24.97 μB per cell

Cell: 7.366 7.366 7.366 Å, 60.00 60.00 60.00°
Sites, in units of the cell vectors:
Mn: 0.000 0.000 0.000
Mn: 0.000 0.000 0.330
Mn: 0.000 0.000 0.670
Mn: 0.000 0.330 0.000
Mn: 0.000 0.330 0.670
Mn: 0.000 0.670 0.000
Mn: 0.000 0.670 0.330
Mn: 0.149 0.617 0.617
Mn: 0.330 0.000 0.000
Mn: 0.330 0.000 0.670
Mn: 0.330 0.670 0.000
Mn: 0.383 0.383 0.383
Mn: 0.383 0.383 0.851
Mn: 0.383 0.851 0.383
Mn: 0.617 0.149 0.617
Mn: 0.617 0.617 0.149
Mn: 0.617 0.617 0.617
Mn: 0.670 0.000 0.000
Mn: 0.670 0.000 0.330
Mn: 0.670 0.330 0.000
Mn: 0.851 0.383 0.383
Fe: 0.250 0.250 0.250
Fe: 0.750 0.750 0.750
N: 0.274 0.274 0.726
N: 0.274 0.726 0.274
N: 0.274 0.726 0.726
N: 0.726 0.274 0.274
N: 0.726 0.274 0.726
N: 0.726 0.726 0.274

=====

The following is a DFT calculation (PBE) of a geometry-optimized Mn3Fe2N4 structure.

Energy relative to the elements, uncorrected = -0.1222 eV/atom
Density of states at the Fermi level = 5.126 states/eV/f.u.
Total magnetization = 1.59 μB per cell

Cell: 6.238 6.238 5.201 Å, 94.08 94.08 60.10°
Sites, in units of the cell vectors:
Mn: 0.178 0.822 0.750
Mn: 0.226 0.412 0.558
Mn: 0.412 0.226 0.058
Mn: 0.588 0.774 0.942
Mn: 0.774 0.588 0.442
Mn: 0.822 0.178 0.250
Fe: 0.001 0.688 0.128
Fe: 0.312 0.999 0.372
Fe: 0.688 0.001 0.628
Fe: 0.999 0.312 0.872
N: 0.024 0.254 0.519
N: 0.248 0.524 0.898
N: 0.254 0.024 0.019
N: 0.476 0.752 0.602
N: 0.524 0.248 0.398
N: 0.746 0.976 0.981
N: 0.752 0.476 0.102
N: 0.976 0.746 0.481

=====

The following is a DFT calculation (PBE) of a geometry-optimized Mn8Fe3N8 structure.

Energy relative to the elements, uncorrected = -0.1570 eV/atom
Density of states at the Fermi level = 12.010 states/eV/f.u.
Total magnetization = 26.87 μB per cell

Cell: 7.468 7.468 6.359 Å, 105.29 105.29 31.37°
Sites, in units of the cell vectors:
Mn: 0.044 0.044 0.227
Mn: 0.142 0.142 0.695
Mn: 0.319 0.319 0.583
Mn: 0.403 0.403 0.035
Mn: 0.597 0.597 0.965
Mn: 0.681 0.681 0.417
Mn: 0.858 0.858 0.305
Mn: 0.956 0.956 0.773
Fe: 0.226 0.226 0.145
Fe: 0.500 0.500 0.500
Fe: 0.774 0.774 0.855
N: 0.094 0.094 0.959
N: 0.180 0.180 0.416
N: 0.362 0.362 0.311
N: 0.456 0.456 0.769
N: 0.544 0.544 0.231
N: 0.638 0.638 0.689
N: 0.820 0.820 0.584
N: 0.906 0.906 0.041

=====

The following is a DFT calculation (PBE) of a geometry-optimized Mn2Fe9N8 structure.

Energy relative to the elements, uncorrected = 0.1147 eV/atom
Density of states at the Fermi level = 15.252 states/eV/f.u.
Total magnetization = 12.49 μB per cell

Cell: 8.888 8.888 6.058 Å, 107.53 107.53 24.51°
Sites, in units of the cell vectors:
Mn: 0.174 0.174 0.117
Mn: 0.826 0.826 0.883
Fe: 0.018 0.018 0.785
Fe: 0.199 0.199 0.555
Fe: 0.352 0.352 0.213
Fe: 0.426 0.426 0.838
Fe: 0.500 0.500 0.500
Fe: 0.574 0.574 0.162
Fe: 0.648 0.648 0.787
Fe: 0.801 0.801 0.445
Fe: 0.982 0.982 0.215
N: 0.101 0.101 0.281
N: 0.140 0.140 0.794
N: 0.269 0.269 0.352
N: 0.461 0.461 0.180
N: 0.539 0.539 0.820
N: 0.731 0.731 0.648
N: 0.860 0.860 0.206
N: 0.899 0.899 0.719

=====

The following is a DFT calculation (PBE) of a geometry-optimized MnFe2N structure.

Energy relative to the elements, uncorrected = 0.4395 eV/atom
Density of states at the Fermi level = 4.032 states/eV/f.u.
Total magnetization = 0.00 μB per cell

Cell: 4.652 4.652 8.632 Å, 90.00 90.00 90.00°
Sites, in units of the cell vectors:
Mn: 0.000 0.000 0.000
Mn: 0.000 0.500 0.250
Mn: 0.500 0.000 0.750
Mn: 0.500 0.500 0.500
Fe: 0.184 0.250 0.625
Fe: 0.250 0.684 0.875
Fe: 0.250 0.816 0.375
Fe: 0.316 0.250 0.125
Fe: 0.684 0.750 0.125
Fe: 0.750 0.184 0.375
Fe: 0.750 0.316 0.875
Fe: 0.816 0.750 0.625
N: 0.000 0.000 0.500
N: 0.000 0.500 0.750
N: 0.500 0.000 0.250
N: 0.500 0.500 0.000

=====

The following is a DFT calculation (PBE) of a geometry-optimized MnFe10N8 structure.

Energy relative to the elements, uncorrected = 0.0954 eV/atom
Density of states at the Fermi level = 17.319 states/eV/f.u.
Total magnetization = 23.86 μB per cell

Cell: 7.393 7.393 6.291 Å, 104.98 104.98 31.34°
Sites, in units of the cell vectors:
Mn: 0.000 0.000 0.000
Fe: 0.104 0.104 0.473
Fe: 0.186 0.186 0.896
Fe: 0.272 0.272 0.359
Fe: 0.362 0.362 0.813
Fe: 0.456 0.456 0.274
Fe: 0.544 0.544 0.726
Fe: 0.638 0.638 0.187
Fe: 0.728 0.728 0.641
Fe: 0.814 0.814 0.104
Fe: 0.896 0.896 0.527
N: 0.045 0.045 0.731
N: 0.138 0.138 0.185
N: 0.321 0.321 0.086
N: 0.406 0.406 0.544
N: 0.594 0.594 0.456
N: 0.679 0.679 0.914
N: 0.862 0.862 0.815
N: 0.955 0.955 0.269

=====

The following is a DFT calculation (PBE) of a geometry-optimized MnFeN2 structure.

Energy relative to the elements, uncorrected = 0.1222 eV/atom
Density of states at the Fermi level = 2.727 states/eV/f.u.
Total magnetization = 1.53 μB per cell

Cell: 2.846 2.846 17.417 Å, 90.00 90.00 120.00°
Sites, in units of the cell vectors:
Mn: 0.000 0.000 0.000
Mn: 0.333 0.667 0.667
Mn: 0.667 0.333 0.333
Fe: 0.000 0.000 0.500
Fe: 0.333 0.667 0.167
Fe: 0.667 0.333 0.833
N: 0.000 0.000 0.395
N: 0.000 0.000 0.605
N: 0.333 0.667 0.062
N: 0.333 0.667 0.271
N: 0.667 0.333 0.729
N: 0.667 0.333 0.938

=====

The following is a DFT calculation (PBE) of a geometry-optimized NdMn2FeN4 structure.

Energy relative to the elements, uncorrected = -0.3332 eV/atom
Density of states at the Fermi level = 3.869 states/eV/f.u.
Total magnetization = 8.93 μB per cell

Cell: 5.625 5.625 10.149 Å, 90.00 90.00 146.75°
Sites, in units of the cell vectors:
Nd: 0.093 0.907 0.750
Nd: 0.907 0.093 0.250
Mn: 0.367 0.633 0.548
Mn: 0.367 0.633 0.952
Mn: 0.633 0.367 0.048
Mn: 0.633 0.367 0.452
Fe: 0.170 0.830 0.250
Fe: 0.830 0.170 0.750
N: 0.000 0.000 0.000
N: 0.000 0.000 0.500
N: 0.270 0.730 0.110
N: 0.270 0.730 0.390
N: 0.423 0.577 0.750
N: 0.577 0.423 0.250
N: 0.730 0.270 0.610
N: 0.730 0.270 0.890

=====

The following is a DFT calculation (PBE) of a geometry-optimized MnFeNi2N structure.

Energy above the lowest structure with this stoichiometry = 51 meV per atom
Energy relative to the elements, uncorrected = 0.0120 eV/atom
Density of states at the Fermi level = 4.769 states/eV/f.u.
Total magnetization = 6.05 μB per cell

Cell: 3.771 3.771 3.779 Å, 90.00 90.00 90.00°
Sites, in units of the cell vectors:
Mn: 0.000 0.000 0.000
Fe: 0.500 0.500 0.000
Ni: 0.000 0.500 0.500
Ni: 0.500 0.000 0.500
N: 0.000 0.000 0.500

=====

The following is a DFT calculation (PBE) of a geometry-optimized MnFe2NiN structure.

Energy above the lowest structure with this stoichiometry = 47 meV per atom
Energy relative to the elements, uncorrected = -0.0340 eV/atom
Density of states at the Fermi level = 4.018 states/eV/f.u.
Total magnetization = 8.50 μB per cell

Cell: 3.780 3.780 3.838 Å, 90.00 90.00 90.00°
Sites, in units of the cell vectors:
Mn: 0.000 0.000 0.000
Fe: 0.000 0.500 0.500
Fe: 0.500 0.000 0.500
Ni: 0.500 0.500 0.000
N: 0.500 0.500 0.500

=====

The following is a DFT calculation (PBE) of a geometry-optimized MnFe2NiN structure.

Energy above the lowest structure with this stoichiometry = 0 meV per atom
Energy relative to the elements, uncorrected = -0.0807 eV/atom
Density of states at the Fermi level = 5.447 states/eV/f.u.
Total magnetization = 8.18 μB per cell

Cell: 3.769 3.769 3.834 Å, 90.00 90.00 90.00°
Sites, in units of the cell vectors:
Mn: 0.000 0.000 0.000
Fe: 0.000 0.500 0.500
Fe: 0.500 0.000 0.500
Ni: 0.500 0.500 0.000
N: 0.000 0.000 0.500

=====

The following is a DFT calculation (PBE) of a geometry-optimized Mn2FeNiN structure.

Energy above the lowest structure with this stoichiometry = 0 meV per atom
Energy relative to the elements, uncorrected = -0.1069 eV/atom
Density of states at the Fermi level = 4.855 states/eV/f.u.
Total magnetization = 7.73 μB per cell

Cell: 3.820 3.820 3.732 Å, 90.00 90.00 90.00°
Sites, in units of the cell vectors:
Mn: 0.000 0.500 0.000
Mn: 0.500 0.000 0.000
Fe: 0.000 0.000 0.500
Ni: 0.500 0.500 0.500
N: 0.000 0.000 0.000

=====

The following is a DFT calculation (PBE) of a geometry-optimized Mn2FeNiN structure.

Energy above the lowest structure with this stoichiometry = 62 meV per atom
Energy relative to the elements, uncorrected = -0.0450 eV/atom
Density of states at the Fermi level = 3.758 states/eV/f.u.
Total magnetization = 7.50 μB per cell

Cell: 3.780 3.780 3.810 Å, 90.00 90.00 90.00°
Sites, in units of the cell vectors:
Mn: 0.000 0.500 0.000
Mn: 0.500 0.000 0.000
Fe: 0.000 0.000 0.500
Ni: 0.500 0.500 0.500
N: 0.500 0.500 0.000

=====

The following is a DFT calculation (PBE) of a geometry-optimized MnFeNi2N structure.

Energy above the lowest structure with this stoichiometry = 0 meV per atom
Energy relative to the elements, uncorrected = -0.0392 eV/atom
Density of states at the Fermi level = 4.344 states/eV/f.u.
Total magnetization = 6.69 μB per cell

Cell: 3.787 3.787 3.778 Å, 90.00 90.00 90.00°
Sites, in units of the cell vectors:
Mn: 0.000 0.000 0.000
Fe: 0.500 0.500 0.000
Ni: 0.000 0.500 0.500
Ni: 0.500 0.000 0.500
N: 0.500 0.500 0.500